(1)
DFT (GGA-PBEsol) results for Ca2AlRuI after structural relaxation.

a = 5.310 Å, b = 5.563 Å, c = 5.563 Å
α = 90.00°, β = 90.00°, γ = 90.00°
Last column: magnetic moment on the atom in μB.
Sites, in units of the cell vectors:
Al 0.500 0.000 0.000  -0.01
Ca 0.000 0.500 0.000  -0.06
I 0.000 0.000 0.000  -0.02
Ca 0.000 0.000 0.500  -0.06
Ru 0.500 0.500 0.500  1.95

electronic total energy: -2.959 eV per atom
M_tot: 1.526 μB/cell
theoretical density: 3.39 Mg/m³
space group: P4/mmm (123)

(2)
DFT (GGA-PBEsol) results for GaRePS2 after structural relaxation.

a = 4.660 Å, b = 4.615 Å, c = 4.615 Å
α = 90.00°, β = 90.00°, γ = 90.00°
Sites, in units of the cell vectors:
S 0.000 0.500 0.000
S 0.000 0.000 0.500
P 0.500 0.000 0.000
Ga 0.500 0.500 0.500
Re 0.000 0.000 0.000

electronic total energy: -5.918 eV per atom
M_tot: 0.000 μB/cell
theoretical density: 5.87 Mg/m³
space group: P4/mmm (123)

(3)
DFT (GGA-PBEsol) results for TlPPd5 after structural relaxation.

a = 3.933 Å, b = 3.933 Å, c = 6.980 Å
α = 90.00°, β = 90.00°, γ = 90.00°
Sites, in units of the cell vectors:
P 0.000 0.000 0.500
Pd 0.000 0.000 0.000
Pd 0.500 0.000 0.697
Tl 0.500 0.500 0.000
Pd 0.500 0.000 0.303
Pd 0.000 0.500 0.303
Pd 0.000 0.500 0.697

electronic total energy: -5.916 eV per atom
M_tot: 0.000 μB/cell
E_form: -44 kJ per mole of atoms
theoretical density: 11.80 Mg/m³
space group: P4/mmm (123)

(4)
DFT (GGA-PBEsol) results for ZrPb3 after structural relaxation.

a = 3.285 Å, b = 5.543 Å, c = 6.004 Å
α = 100.19°, β = 105.88°, γ = 90.00°
Sites, in units of the cell vectors:
Pb 0.500 0.500 0.000
Pb 0.262 0.762 0.524
Zr 0.000 0.000 0.000
Pb 0.738 0.238 0.476

electronic total energy: -5.267 eV per atom
M_tot: 0.000 μB/cell
E_form: 0 kJ per mole of atoms
theoretical density: 11.45 Mg/m³
space group: C2/m (12)

(5)
DFT (GGA-PBEsol) results for Sc2Ir after structural relaxation.

a = 3.464 Å, b = 5.805 Å, c = 6.214 Å
α = 90.00°, β = 90.00°, γ = 107.36°
Sites, in units of the cell vectors:
Ir 0.118 0.236 0.927
Ir 0.882 0.764 0.427
Sc 0.477 0.955 0.712
Sc 0.790 0.580 0.026
Sc 0.210 0.420 0.526
Sc 0.523 0.045 0.212

electronic total energy: -8.333 eV per atom
M_tot: 0.000 μB/cell
E_form: -63 kJ per mole of atoms
theoretical density: 7.86 Mg/m³
space group: Cmc2_1 (36)

(6)
DFT (GGA-PBEsol) results for K2SbF5 after structural relaxation.

a = 6.257 Å, b = 6.503 Å, c = 7.364 Å
α = 90.00°, β = 115.14°, γ = 90.00°
Sites, in units of the cell vectors:
Sb 0.412 0.250 0.823
F 0.381 0.531 0.236
K 0.746 0.250 0.491
F 0.619 0.469 0.764
Sb 0.588 0.750 0.177
K 0.063 0.250 0.126
F 0.619 0.031 0.764
F 0.264 0.250 0.527
K 0.937 0.750 0.874
K 0.254 0.750 0.509
F 0.855 0.969 0.236
F 0.145 0.031 0.764
F 0.855 0.531 0.236
F 0.736 0.750 0.473
F 0.381 0.969 0.236
F 0.145 0.469 0.764

electronic total energy: -4.715 eV per atom
M_tot: 0.000 μB/cell
theoretical density: 3.61 Mg/m³
space group: Cmcm (63)